# LiLa2Sm | Alexandria | PBE-GGA | relaxed
data_LiLa2Sm
_chemical_formula_sum 'Li3 La6 Sm3'
_cell_length_a 3.6557
_cell_length_b 3.6557
_cell_length_c 34.7890
_cell_angle_alpha 90.00
_cell_angle_beta 90.00
_cell_angle_gamma 120.00
_space_group_name_H-M_alt 'R 3 m'
_space_group_IT_number 160
_space_group_name_Hall 'R 3 -2"'
loop_
_atom_site_label
_atom_site_fract_x
_atom_site_fract_y
_atom_site_fract_z
_atom_site_occupancy
Li1 0.0000 0.0000 0.0000 1
La1 0.0000 0.0000 0.4152 1
La2 0.0000 0.0000 0.5857 1
Sm1 0.0000 0.0000 0.1673 1
# **Energy above the lowest structure with this stoichiometry**: 19.4 meV/atom